No. 1
Crystalline SrMgGaPt at its relaxed geometry. Source: the Alexandria database, functional PBE.

## Properties
DFT formation energy ... -0.45 eV/atom
DOS at the Fermi energy ... 2.15 states/eV/f.u.
Space-group type ... No. 129

abc: 4.313 4.313 11.665
angles: 90.00 90.00 90.00
Positions (direct):
Ga 0.250 0.750 0.000
Sr 0.750 0.750 0.231
Sr 0.250 0.250 0.769
Mg 0.750 0.250 0.500
Pt 0.250 0.250 0.117
Ga 0.750 0.250 0.000
Mg 0.250 0.750 0.500
Pt 0.750 0.750 0.883

No. 2
Crystalline TbMg2Ga2Pt at its relaxed geometry. Source: the Alexandria database, functional PBE.

## Properties
DFT formation energy ... 0.11 eV/atom
DOS at the Fermi energy ... 4.35 states/eV/f.u.
Space-group type ... No. 139

abc: 3.986 3.986 10.665
angles: 100.77 100.77 90.00
Positions (direct):
Mg 0.750 0.250 0.500
Ga 0.356 0.356 0.711
Pt 0.000 0.000 0.000
Ga 0.644 0.644 0.289
Tb 0.500 0.500 0.000
Mg 0.250 0.750 0.500

No. 3
Crystalline TbMgGaPt at its relaxed geometry. Source: the Alexandria database, functional PBE.

## Properties
DFT formation energy ... -0.76 eV/atom
DOS at the Fermi energy ... 1.96 states/eV/f.u.
Space-group type ... No. 216

abc: 4.813 4.813 4.813
angles: 60.00 60.00 60.00
Positions (direct):
Pt 0.750 0.750 0.750
Ga 0.250 0.250 0.250
Tb 0.000 0.000 0.000
Mg 0.500 0.500 0.500

No. 4
Crystalline TbMgGa2Pt4 at its relaxed geometry. Source: the Alexandria database, functional PBE.

## Properties
DFT formation energy ... -0.86 eV/atom
DOS at the Fermi energy ... 3.51 states/eV/f.u.
Space-group type ... No. 166

abc: 4.353 4.353 8.858
angles: 75.78 75.78 60.00
Positions (direct):
Tb 0.000 0.000 0.000
Ga 0.756 0.756 0.731
Mg 0.500 0.500 0.500
Pt 0.131 0.131 0.608
Ga 0.244 0.244 0.269
Pt 0.601 0.601 0.197
Pt 0.399 0.399 0.803
Pt 0.869 0.869 0.392

No. 5
Crystalline Tb2MgGa3Pt4 at its relaxed geometry. Source: the Alexandria database, functional PBE.

## Properties
DFT formation energy ... -0.95 eV/atom
DOS at the Fermi energy ... 4.58 states/eV/f.u.
Space-group type ... No. 115

abc: 4.066 4.066 11.488
angles: 90.00 90.00 90.00
Positions (direct):
Mg 0.500 0.500 0.500
Pt 0.500 0.500 0.000
Ga 0.000 0.500 0.132
Tb 0.000 0.500 0.759
Pt 0.000 0.000 0.000
Pt 0.000 0.500 0.349
Tb 0.500 0.000 0.241
Pt 0.500 0.000 0.651
Ga 0.000 0.000 0.500
Ga 0.500 0.000 0.868

No. 6
Crystalline Tb2MgGa4Pt3 at its relaxed geometry. Source: the Alexandria database, functional PBE.

## Properties
DFT formation energy ... -0.86 eV/atom
DOS at the Fermi energy ... 5.84 states/eV/f.u.
Space-group type ... No. 115

abc: 4.133 4.133 11.242
angles: 90.00 90.00 90.00
Positions (direct):
Pt 0.000 0.500 0.135
Ga 0.000 0.500 0.355
Pt 0.500 0.000 0.865
Pt 0.000 0.000 0.500
Ga 0.500 0.000 0.645
Tb 0.000 0.500 0.763
Mg 0.500 0.500 0.500
Ga 0.000 0.000 0.000
Tb 0.500 0.000 0.237
Ga 0.500 0.500 0.000

No. 7
Crystalline Th2MgGa3Pt4 at its relaxed geometry. Source: the Alexandria database, functional PBE.

## Properties
DFT formation energy ... -0.93 eV/atom
DOS at the Fermi energy ... 7.62 states/eV/f.u.
Space-group type ... No. 115

abc: 4.163 4.163 11.352
angles: 90.00 90.00 90.00
Positions (direct):
Ga 0.000 0.000 0.500
Th 0.000 0.500 0.757
Pt 0.000 0.500 0.349
Th 0.500 0.000 0.243
Mg 0.500 0.500 0.500
Pt 0.000 0.000 0.000
Pt 0.500 0.500 0.000
Pt 0.500 0.000 0.651
Ga 0.500 0.000 0.871
Ga 0.000 0.500 0.129

No. 8
Crystalline ThMgGa2Pt2 at its relaxed geometry. Source: the Alexandria database, functional PBE.

## Properties
DFT formation energy ... -0.89 eV/atom
DOS at the Fermi energy ... 3.93 states/eV/f.u.
Space-group type ... No. 164

abc: 4.436 4.436 6.797
angles: 90.00 90.00 120.00
Positions (direct):
Mg 0.000 0.000 0.500
Ga 0.333 0.667 0.304
Ga 0.667 0.333 0.696
Th 0.000 0.000 0.000
Pt 0.667 0.333 0.276
Pt 0.333 0.667 0.724

No. 9
Crystalline ThMgGa2Pt4 at its relaxed geometry. Source: the Alexandria database, functional PBE.

## Properties
DFT formation energy ... -0.90 eV/atom
DOS at the Fermi energy ... 2.39 states/eV/f.u.
Space-group type ... No. 166

abc: 4.353 4.353 9.110
angles: 76.18 76.18 60.00
Positions (direct):
Pt 0.132 0.132 0.603
Ga 0.761 0.761 0.718
Th 0.000 0.000 0.000
Ga 0.239 0.239 0.282
Pt 0.601 0.601 0.197
Pt 0.399 0.399 0.803
Pt 0.868 0.868 0.397
Mg 0.500 0.500 0.500

No. 10
Crystalline MgTiGaPt2 at its relaxed geometry. Source: the Alexandria database, functional PBE.

## Properties
DFT formation energy ... 0.22 eV/atom
DOS at the Fermi energy ... 2.69 states/eV/f.u.
Space-group type ... No. 123

abc: 4.743 4.743 4.843
angles: 90.00 90.00 90.00
Positions (direct):
Ti 0.000 0.000 0.000
Mg 0.500 0.500 0.500
Pt 0.000 0.500 0.000
Ga 0.000 0.000 0.500
Pt 0.500 0.000 0.000

No. 11
Crystalline MgTlGa2Pt at its relaxed geometry. Source: the Alexandria database, functional PBE.

## Properties
DFT formation energy ... -0.29 eV/atom
DOS at the Fermi energy ... 2.08 states/eV/f.u.
Space-group type ... No. 123

abc: 4.849 4.849 5.128
angles: 90.00 90.00 90.00
Positions (direct):
Tl 0.500 0.500 0.500
Ga 0.000 0.500 0.000
Ga 0.500 0.000 0.000
Mg 0.000 0.000 0.500
Pt 0.000 0.000 0.000

No. 12
Crystalline TmMgGa2Pt2 at its relaxed geometry. Source: the Alexandria database, functional PBE.

## Properties
DFT formation energy ... -0.91 eV/atom
DOS at the Fermi energy ... 3.33 states/eV/f.u.
Space-group type ... No. 164

abc: 4.404 4.404 6.458
angles: 90.00 90.00 120.00
Positions (direct):
Pt 0.667 0.333 0.730
Tm 0.000 0.000 0.000
Pt 0.333 0.667 0.270
Mg 0.000 0.000 0.500
Ga 0.333 0.667 0.716
Ga 0.667 0.333 0.284

No. 13
Crystalline Tm2MgGa2Pt5 at its relaxed geometry. Source: the Alexandria database, functional PBE.

## Properties
DFT formation energy ... -0.93 eV/atom
DOS at the Fermi energy ... 4.72 states/eV/f.u.
Space-group type ... No. 127

abc: 3.798 9.669 9.669
angles: 90.00 90.00 90.00
Positions (direct):
Tm 0.000 0.826 0.674
Pt 0.500 0.794 0.934
Pt 0.500 0.934 0.206
Ga 0.000 0.625 0.875
Pt 0.500 0.566 0.706
Pt 0.500 0.000 0.500
Mg 0.000 0.500 0.500
Mg 0.000 0.000 0.000
Ga 0.000 0.875 0.375
Ga 0.000 0.375 0.125
Ga 0.000 0.125 0.625
Tm 0.000 0.326 0.826
Pt 0.500 0.294 0.566
Pt 0.500 0.434 0.294
Pt 0.500 0.066 0.794
Pt 0.500 0.500 0.000
Tm 0.000 0.674 0.174
Tm 0.000 0.174 0.326
Pt 0.500 0.706 0.434
Pt 0.500 0.206 0.066

No. 14
Crystalline TmMg2Ga2Pt at its relaxed geometry. Source: the Alexandria database, functional PBE.

## Properties
DFT formation energy ... -0.27 eV/atom
DOS at the Fermi energy ... 3.45 states/eV/f.u.
Space-group type ... No. 139

abc: 4.017 4.017 9.319
angles: 102.45 102.45 90.00
Positions (direct):
Tm 0.500 0.500 0.000
Ga 0.863 0.863 0.725
Ga 0.137 0.137 0.275
Mg 0.750 0.250 0.500
Pt 0.000 0.000 0.000
Mg 0.250 0.750 0.500

No. 15
Crystalline Tm2MgGa3Pt4 at its relaxed geometry. Source: the Alexandria database, functional PBE.

## Properties
DFT formation energy ... -0.94 eV/atom
DOS at the Fermi energy ... 4.60 states/eV/f.u.
Space-group type ... No. 115

abc: 4.019 4.019 11.550
angles: 90.00 90.00 90.00
Positions (direct):
Tm 0.000 0.500 0.758
Ga 0.000 0.000 0.500
Pt 0.000 0.000 0.000
Pt 0.500 0.000 0.653
Ga 0.500 0.000 0.867
Pt 0.000 0.500 0.347
Pt 0.500 0.500 0.000
Mg 0.500 0.500 0.500
Tm 0.500 0.000 0.242
Ga 0.000 0.500 0.133

No. 16
Crystalline Y2MgGa4Pt3 at its relaxed geometry. Source: the Alexandria database, functional PBE.

## Properties
DFT formation energy ... -0.86 eV/atom
DOS at the Fermi energy ... 5.74 states/eV/f.u.
Space-group type ... No. 115

abc: 4.134 4.134 11.216
angles: 90.00 90.00 90.00
Positions (direct):
Pt 0.500 0.000 0.865
Mg 0.500 0.500 0.500
Y 0.500 0.000 0.238
Y 0.000 0.500 0.762
Pt 0.000 0.000 0.500
Ga 0.500 0.500 0.000
Ga 0.500 0.000 0.645
Pt 0.000 0.500 0.135
Ga 0.000 0.000 0.000
Ga 0.000 0.500 0.355

No. 17
Crystalline Y2MgGa3Pt4 at its relaxed geometry. Source: the Alexandria database, functional PBE.

## Properties
DFT formation energy ... -0.95 eV/atom
DOS at the Fermi energy ... 4.61 states/eV/f.u.
Space-group type ... No. 115

abc: 4.062 4.062 11.486
angles: 90.00 90.00 90.00
Positions (direct):
Mg 0.500 0.500 0.500
Y 0.000 0.500 0.759
Pt 0.500 0.000 0.651
Pt 0.000 0.000 0.000
Ga 0.500 0.000 0.868
Y 0.500 0.000 0.241
Ga 0.000 0.000 0.500
Pt 0.500 0.500 0.000
Ga 0.000 0.500 0.132
Pt 0.000 0.500 0.349

No. 18
Crystalline YMgGaPt at its relaxed geometry. Source: the Alexandria database, functional PBE.

## Properties
DFT formation energy ... -0.76 eV/atom
DOS at the Fermi energy ... 1.74 states/eV/f.u.
Space-group type ... No. 216

abc: 4.808 4.808 4.808
angles: 60.00 60.00 60.00
Positions (direct):
Mg 0.000 0.000 0.000
Ga 0.250 0.250 0.250
Y 0.500 0.500 0.500
Pt 0.750 0.750 0.750

No. 19
Crystalline Pu4MgGa12 at its relaxed geometry. Source: the Alexandria database, functional PBE.

## Properties
DFT formation energy ... -0.35 eV/atom
DOS at the Fermi energy ... 38.89 states/eV/f.u.
Space-group type ... No. 229

abc: 7.579 7.579 7.579
angles: 109.47 109.47 109.47
Last column: magnetic moment on the atom in μB.
Positions (direct):
Ga 0.307 0.307 0.000  0.01
Pu 0.000 0.500 0.000  -5.17
Ga 0.307 0.000 0.307  0.01
Pu 0.000 0.000 0.500  -5.17
Ga 0.500 0.250 0.750  0.00
Pu 0.500 0.500 0.500  -5.17
Ga 0.250 0.500 0.750  0.00
Ga 0.693 0.693 0.000  0.01
Pu 0.500 0.000 0.000  -5.17
Ga 0.000 0.307 0.307  0.01
Ga 0.750 0.500 0.250  0.00
Ga 0.000 0.693 0.693  0.01
Ga 0.250 0.750 0.500  0.00
Ga 0.500 0.750 0.250  0.00
Mg 0.000 0.000 0.000  0.02
Ga 0.693 0.000 0.693  0.01
Ga 0.750 0.250 0.500  0.00

No. 20
Crystalline PuMg2Ga2 at its relaxed geometry. Source: the Alexandria database, functional PBE.

## Properties
DFT formation energy ... -0.15 eV/atom
DOS at the Fermi energy ... 8.19 states/eV/f.u.
Space-group type ... No. 11

abc: 3.337 4.933 12.989
angles: 89.94 90.00 90.00
Last column: magnetic moment on the atom in μB.
Positions (direct):
Ga 0.750 0.751 0.038  -0.02
Pu 0.250 0.750 0.251  5.50
Mg 0.750 0.750 0.473  0.00
Ga 0.250 0.750 0.653  -0.03
Ga 0.250 0.249 0.962  -0.02
Mg 0.250 0.250 0.527  0.00
Ga 0.750 0.250 0.347  -0.03
Mg 0.250 0.750 0.864  0.01
Pu 0.750 0.250 0.749  5.50
Mg 0.750 0.250 0.136  0.01